LiDy3Ru | PBE | optimized geometry

- Calculated formation energy: -0.0450 eV/atom

Unit cell a=5.3762 b=5.3762 c=5.3762 alpha=90.00 beta=90.00 gamma=90.00
Last column: nearest neighbours and their distance in Å.
Fractional positions:
Li: 0.0000 0.0000 0.0000  12 Dy 3.80
Dy: 0.0000 0.5000 0.5000  2 Ru 2.69
Dy: 0.5000 0.0000 0.5000  2 Ru 2.69
Dy: 0.5000 0.5000 0.0000  2 Ru 2.69
Ru: 0.5000 0.5000 0.5000  6 Dy 2.69

---

LiDy2Ru | PBE | optimized geometry

- Polymorph energy (0 for the lowest one): 241 meV/atom
- Calculated formation energy: -0.0416 eV/atom

Unit cell a=8.8616 b=8.8616 c=8.8616 alpha=25.26 beta=25.26 gamma=25.26
Last column: nearest neighbours and their distance in Å.
Fractional positions:
Li: 0.0000 0.0000 0.0000  6 Dy 3.54, 6 Li 3.87
Dy: 0.2267 0.2267 0.2267  3 Ru 2.72
Dy: 0.7733 0.7733 0.7733  3 Ru 2.72
Ru: 0.5000 0.5000 0.5000  6 Dy 2.72

---

LiDy3Ru2 | PBE | optimized geometry

- Calculated formation energy: -0.2984 eV/atom

Unit cell a=3.4092 b=3.4092 c=11.4761 alpha=90.00 beta=90.00 gamma=90.00
Last column: nearest neighbours and their distance in Å.
Fractional positions:
Li: 0.0000 0.0000 0.0000  8 Dy 3.39, 4 Li 3.41
Dy: 0.5000 0.5000 0.2078  4 Ru 2.87
Dy: 0.5000 0.5000 0.5000  8 Ru 3.00, 2 Dy 3.35
Dy: 0.5000 0.5000 0.7922  4 Ru 2.87
Ru: 0.0000 0.0000 0.3441  8 Dy 2.87-3.00
Ru: 0.0000 0.0000 0.6559  8 Dy 2.87-3.00

---

Going through the records in order, we get calculated density values of 6.36; 6.45; 8.67 g cm⁻³.
Going through the records in order, we get D(E_F) values of 0.87; 0.62; 0.50 states/eV per atom.